Version 1
VASP calculation (GGA-PBEsol) on an optimized crystal structure of Sn2S3O12.

Calculated values
V ... 237 Å³/f.u.

The structure in CIF format:
```
data_Sn2S3O12
_chemical_formula_sum 'Sn8 S12 O48'
_cell_length_a 8.9167
_cell_length_b 8.8469
_cell_length_c 14.4354
_cell_angle_alpha 90.00
_cell_angle_beta 123.79
_cell_angle_gamma 90.00
_space_group_name_H-M_alt 'P 1 21/c 1'
_space_group_IT_number 14
loop_
_space_group_symop_operation_xyz
'x,y,z'
'-x,-y,-z'
'-x,y+1/2,-z+1/2'
'x,-y+1/2,z+1/2'
loop_
_atom_site_label
_atom_site_fract_x
_atom_site_fract_y
_atom_site_fract_z
_atom_site_occupancy
Sn1 0.1335 0.0414 0.3730 1
Sn2 0.3498 0.0225 0.1121 1
S1 0.0249 0.7377 0.4964 1
S2 0.2650 0.0886 0.8513 1
S3 0.4913 0.6386 0.8579 1
O1 0.0007 0.1277 0.5682 1
O2 0.0188 0.7333 0.0941 1
O3 0.1143 0.1202 0.0783 1
O4 0.1535 0.2209 0.7950 1
O5 0.1712 0.5541 0.3048 1
O6 0.2048 0.6700 0.5313 1
O7 0.3253 0.0772 0.5748 1
O8 0.3395 0.0996 0.9743 1
O9 0.3729 0.5387 0.7565 1
O10 0.4027 0.6510 0.9162 1
O11 0.4273 0.1034 0.8436 1
O12 0.4957 0.7106 0.3075 1
```



Version 2
VASP calculation (GGA-PBEsol) on an optimized crystal structure of Sn2S3O12.

Calculated values
V ... 252 Å³/f.u.

The structure in CIF format:
```
data_Sn2S3O12
_chemical_formula_sum 'Sn8 S12 O48'
_cell_length_a 12.3053
_cell_length_b 9.0785
_cell_length_c 9.0317
_cell_angle_alpha 90.00
_cell_angle_beta 90.00
_cell_angle_gamma 90.00
_space_group_name_H-M_alt 'P b c n'
_space_group_IT_number 60
loop_
_space_group_symop_operation_xyz
'x,y,z'
'-x,-y,-z'
'-x+1/2,-y+1/2,z+1/2'
'x+1/2,y+1/2,-z+1/2'
'x+1/2,-y+1/2,-z'
'-x+1/2,y+1/2,z'
'-x,y,-z+1/2'
'x,-y,z+1/2'
loop_
_atom_site_label
_atom_site_fract_x
_atom_site_fract_y
_atom_site_fract_z
_atom_site_occupancy
Sn1 0.1200 0.2487 0.0424 1
S1 0.0000 0.4481 0.7500 1
S2 0.1523 0.0962 0.3919 1
O1 0.0347 0.1228 0.4097 1
O2 0.0660 0.4609 0.1472 1
O3 0.0778 0.3528 0.8321 1
O4 0.1765 0.0643 0.9044 1
O5 0.1902 0.1423 0.2424 1
O6 0.2109 0.1790 0.5100 1
```



In order of decreasing stability: version 1, version 2.



Version 1
VASP calculation (GGA-PBEsol) on an optimized crystal structure of Sb2SeO.

Calculated values
V ... 75 Å³/f.u.

The structure in CIF format:
```
data_Sb2SeO
_chemical_formula_sum 'Sb8 Se4 O4'
_cell_length_a 6.6917
_cell_length_b 6.6917
_cell_length_c 6.6917
_cell_angle_alpha 90.00
_cell_angle_beta 90.00
_cell_angle_gamma 90.00
_space_group_name_H-M_alt 'F m -3 m'
_space_group_IT_number 225
_space_group_name_Hall '-F 4 2 3'
loop_
_atom_site_label
_atom_site_fract_x
_atom_site_fract_y
_atom_site_fract_z
_atom_site_occupancy
Sb1 0.2500 0.2500 0.2500 1
Se1 0.0000 0.0000 0.0000 1
O1 0.0000 0.0000 0.5000 1
```



Version 2
VASP calculation (GGA-PBEsol) on an optimized crystal structure of Sb2SeO.

Calculated values
V ... 94 Å³/f.u.

The structure in CIF format:
```
data_Sb2SeO
_chemical_formula_sum 'Sb8 Se4 O4'
_cell_length_a 5.0859
_cell_length_b 5.0859
_cell_length_c 14.5754
_cell_angle_alpha 90.00
_cell_angle_beta 90.00
_cell_angle_gamma 90.00
_space_group_name_H-M_alt 'I -4 2 d'
_space_group_IT_number 122
_space_group_name_Hall 'I -4 2bw'
loop_
_atom_site_label
_atom_site_fract_x
_atom_site_fract_y
_atom_site_fract_z
_atom_site_occupancy
Sb1 0.1428 0.2500 0.1250 1
Se1 0.0000 0.0000 0.5000 1
O1 0.0000 0.0000 0.0000 1
```



In order of decreasing stability: version 2, version 1.